Density functional theory data (GGA-PBE) for a relaxed structure of TaGaCo5.

abc: 3.6331 3.6331 6.8805
angles: 90.00 90.00 90.00
Fractional positions:
1 Co 0.5000 0.0000 0.2344
2 Ga 0.5000 0.5000 0.0000
3 Co 0.5000 0.5000 0.5000
4 Co 0.0000 0.5000 0.2344
5 Ta 0.0000 0.0000 0.5000
6 Co 0.5000 0.0000 0.7656
7 Co 0.0000 0.5000 0.7656

Results
The mass density comes out at 10.0 Mg/m³. Its calculated volume is 90.8 Å³/f.u. The space-group type is P4/mmm (123). Its formation energy is 0.007 eV/atom.

=====

Density functional theory data (GGA-PBE) for a relaxed structure of SrSc.

abc: 12.9786 12.9786 3.6542
angles: 90.00 90.00 90.00
Fractional positions:
1 Sr 0.8237 0.1212 0.0000
2 Sc 0.6155 0.9284 0.0000
3 Sc 0.1154 0.4284 0.5000
4 Sc 0.8846 0.5716 0.5000
5 Sr 0.3788 0.3237 0.5000
6 Sr 0.1763 0.8788 0.0000
7 Sr 0.3237 0.6212 0.5000
8 Sr 0.8788 0.8237 0.0000
9 Sc 0.9284 0.3846 0.0000
10 Sc 0.3846 0.0716 0.0000
11 Sr 0.6212 0.6763 0.5000
12 Sc 0.5716 0.1154 0.5000
13 Sr 0.6763 0.3788 0.5000
14 Sc 0.0716 0.6155 0.0000
15 Sc 0.4284 0.8846 0.5000
16 Sr 0.1212 0.1763 0.0000

Results
The mass density comes out at 2.9 Mg/m³. Its calculated volume is 76.9 Å³/f.u. The space-group type is I4/m (87). As for the polymorph energy (0 for the lowest one): 104 meV/atom. Its formation energy is 0.298 eV/atom.

=====

Density functional theory data (GGA-PBE) for a relaxed structure of SrLaCo2.

abc: 4.9954 4.9954 9.2528
angles: 74.34 74.34 90.00
Fractional positions:
1 La 0.0000 0.0000 0.0000
2 Sr 0.2500 0.7500 0.5000
3 Co 0.8750 0.1251 0.7500
4 La 0.7500 0.2500 0.5000
5 Co 0.8749 0.6250 0.2500
6 Co 0.3750 0.1249 0.7500
7 Sr 0.5000 0.5000 0.0000
8 Co 0.8751 0.1250 0.2500

Results
The mass density comes out at 5.4 Mg/m³. Its calculated volume is 106.7 Å³/f.u. The space-group type is I4_1/amd (141). As for the polymorph energy (0 for the lowest one): 374 meV/atom. Its formation energy is 0.451 eV/atom.

=====

Density functional theory data (GGA-PBE) for a relaxed structure of Ta2Mo3.

abc: 5.3752 14.0867 5.3752
angles: 29.12 49.86 29.12
Fractional positions:
1 Ta 0.0000 0.8035 0.0000
2 Mo 0.0000 0.0045 0.0000
3 Ta 0.0000 0.5965 0.0000
4 Mo 0.0000 0.3955 0.0000
5 Mo 0.0000 0.2000 0.0000

Results
The mass density comes out at 12.9 Mg/m³. Its calculated volume is 83.5 Å³/f.u. The space-group type is R-3m (166). As for the polymorph energy (0 for the lowest one): 16 meV/atom. Its formation energy is -0.180 eV/atom.

=====

Question: Which value of mass density does entry 4 give?
Answer: 12.9 Mg/m³